1.
A plane-wave DFT calculation with PBE was carried out for crystalline TmCuTe3Pb at its relaxed geometry.

a b c (Å): 19.691 4.305 8.668
angles (deg): 90.00 102.23 90.00
Space group C2/m (No. 12)
Inequivalent atoms, fractional coordinates:
Tm: 0.159 0.000 0.082 [4 per cell]
Cu: 0.045 0.500 0.206 [4 per cell]
Te: 0.000 0.000 0.000 [2 per cell]
Te: 0.000 0.500 0.500 [2 per cell]
Te: 0.178 0.500 0.332 [4 per cell]
Te: 0.179 0.500 0.850 [4 per cell]
Pb: 0.124 0.000 0.569 [4 per cell]

Output
- Polymorph energy (0 for the lowest one): 64.6 meV/atom
- M_tot: 0.01 Bohr magnetons per cell

***

2.
A plane-wave DFT calculation with PBE was carried out for crystalline K2IrF6 at its relaxed geometry.

a b c (Å): 5.6122 5.6122 4.4039
angles (deg): 90.00 90.00 120.00
Space group P-3m1 (No. 164)
Inequivalent atoms, fractional coordinates:
K: 0.3333 0.6667 0.2199 [2 per cell]
Ir: 0.0000 0.0000 0.5000 [1 per cell]
F: 0.1697 0.3394 0.7387 [6 per cell]

Output
- M_tot: 1.00 Bohr magnetons per cell
- E_tot: -4.6137 eV/atom

***

3.
A plane-wave DFT calculation with PBE was carried out for crystalline Na2Sc2AlSiPd2 at its relaxed geometry.

a b c (Å): 4.564 4.564 6.575
angles (deg): 90.00 90.00 90.00
Space group P-4m2 (No. 115)
Inequivalent atoms, fractional coordinates:
Na: 0.000 0.500 0.246 [2 per cell]
Sc: 0.000 0.000 0.000 [1 per cell]
Sc: 0.500 0.500 0.500 [1 per cell]
Al: 0.000 0.000 0.500 [1 per cell]
Si: 0.500 0.500 0.000 [1 per cell]
Pd: 0.000 0.500 0.753 [2 per cell]

Output
- M_tot: 0.01 Bohr magnetons per cell
- E_tot: -4.7195 eV/atom

***

Repeat the first record exactly.
A plane-wave DFT calculation with PBE was carried out for crystalline TmCuTe3Pb at its relaxed geometry.

a b c (Å): 19.691 4.305 8.668
angles (deg): 90.00 102.23 90.00
Space group C2/m (No. 12)
Inequivalent atoms, fractional coordinates:
Tm: 0.159 0.000 0.082 [4 per cell]
Cu: 0.045 0.500 0.206 [4 per cell]
Te: 0.000 0.000 0.000 [2 per cell]
Te: 0.000 0.500 0.500 [2 per cell]
Te: 0.178 0.500 0.332 [4 per cell]
Te: 0.179 0.500 0.850 [4 per cell]
Pb: 0.124 0.000 0.569 [4 per cell]

Output
- Polymorph energy (0 for the lowest one): 64.6 meV/atom
- M_tot: 0.01 Bohr magnetons per cell

***

Look up the M_tot of the second one.
1.00 Bohr magnetons per cell